1.
Ac12InGe7 | PBE | relaxed

Total moment = 0.000 μB/f.u.
Crystal system = trigonal
Total DFT energy (no corrections) = -4.592 eV/atom

Cell lengths 10.0031, 10.0031, 10.0031 Å; angles 110.34, 110.34, 110.34 degrees
Last column: nearest neighbours and their distance in Å.
Fractional coordinates of all 20 atoms:
Ac: 0.0999 0.3927 0.3128  4 Ge 3.20-3.41, 1 In 3.57
Ac: 0.1250 0.2691 0.6659  3 Ge 3.10-3.19
Ac: 0.2691 0.6659 0.1250  3 Ge 3.10-3.19
Ac: 0.3128 0.0999 0.3927  4 Ge 3.20-3.41, 1 In 3.57
Ac: 0.3341 0.8750 0.7309  3 Ge 3.10-3.19
Ac: 0.3927 0.3128 0.0999  4 Ge 3.20-3.41, 1 In 3.57
Ac: 0.6073 0.6872 0.9001  4 Ge 3.20-3.41, 1 In 3.57
Ac: 0.6659 0.1250 0.2691  3 Ge 3.10-3.19
Ac: 0.6872 0.9001 0.6073  4 Ge 3.20-3.41, 1 In 3.57
Ac: 0.7309 0.3341 0.8750  3 Ge 3.10-3.19
Ac: 0.8750 0.7309 0.3341  3 Ge 3.10-3.19
Ac: 0.9001 0.6073 0.6872  4 Ge 3.20-3.41, 1 In 3.57
In: 0.0000 0.0000 0.0000  6 Ge 2.97
Ge: 0.0336 0.2794 0.9434  1 In 2.97, 5 Ac 3.10-3.22, 2 Ge 3.29
Ge: 0.0566 0.9664 0.7206  1 In 2.97, 5 Ac 3.10-3.22, 2 Ge 3.29
Ge: 0.2794 0.9434 0.0336  1 In 2.97, 5 Ac 3.10-3.22, 2 Ge 3.29
Ge: 0.5000 0.5000 0.5000  6 Ac 3.33
Ge: 0.7206 0.0566 0.9664  1 In 2.97, 5 Ac 3.10-3.22, 2 Ge 3.29
Ge: 0.9434 0.0336 0.2794  1 In 2.97, 5 Ac 3.10-3.22, 2 Ge 3.29
Ge: 0.9664 0.7206 0.0566  1 In 2.97, 5 Ac 3.10-3.22, 2 Ge 3.29

2.
Mg8CdPd2 | PBE | relaxed

Total moment = 0.000 μB/f.u.
Offset from the most stable computed form = 0.0 meV/atom
Crystal system = triclinic
Total DFT energy (no corrections) = -2.513 eV/atom

Cell lengths 4.5819, 7.1630, 7.7240 Å; angles 114.62, 107.06, 90.11 degrees
Last column: nearest neighbours and their distance in Å.
Fractional coordinates of all 11 atoms:
Mg: 0.0000 0.0000 0.0000  2 Pd 2.73-3.06, 1 Cd 2.93, 6 Mg 2.97-3.02
Mg: 0.0618 0.4624 0.1265  2 Pd 2.71, 1 Cd 2.98, 2 Mg 2.99-3.02
Mg: 0.2931 0.3816 0.5885  2 Pd 2.71, 1 Cd 2.97, 2 Mg 2.99-3.02
Mg: 0.3583 0.8444 0.7164  1 Pd 2.73, 1 Cd 2.93, 6 Mg 2.97-3.02
Mg: 0.5108 0.6818 0.0247  3 Pd 2.82-2.90, 5 Mg 2.98-3.08
Mg: 0.6425 0.1920 0.2872  1 Pd 2.71, 3 Mg 3.00-3.02
Mg: 0.7143 0.6532 0.4288  1 Pd 2.71, 3 Mg 3.00-3.02
Mg: 0.8441 0.1622 0.6908  3 Pd 2.82-2.90, 5 Mg 2.98-3.08
Cd: 0.1775 0.9220 0.3579  12 Mg 2.93-3.25
Pd: 0.4764 0.2619 0.9554  7 Mg 2.71-2.90
Pd: 0.8784 0.5822 0.7599  7 Mg 2.71-2.90

Q: Which value of total DFT energy (no corrections) does entry 1 give?
A: -4.592 eV/atom